(1)
VASP calculation (GGA-PBE) on crystalline SrOsI2O at its relaxed geometry.

Its density of states at the Fermi level is 0.9749 states/eV per atom.

Unit cell a=6.3930 b=6.3930 c=4.2461 alpha=90.00 beta=90.00 gamma=90.00
With the nearest neighbours (Å) after each atom.
Space group P4/mmm (No. 123)
Inequivalent atoms, fractional coordinates:
Sr  0.0000  0.0000  0.0000 [1 per cell]  2 O 2.12
Os  0.5000  0.5000  0.5000 [1 per cell]  8 I 3.84, 2 Os 4.25
I  0.0000  0.5000  0.0000 [2 per cell]  2 Sr 3.20
O  0.0000  0.0000  0.5000 [1 per cell]  2 Sr 2.12

(2)
VASP calculation (GGA-PBE) on crystalline Sr3OsI2O6 at its relaxed geometry.

Unit cell a=11.6236 b=7.2227 c=6.8646 alpha=90.00 beta=100.95 gamma=90.00
With the nearest neighbours (Å) after each atom.
Space group C2/m (No. 12)
Inequivalent atoms, fractional coordinates:
Sr  0.0000  0.0000  0.0000 [2 per cell]  2 I 3.14, 4 O 3.18
Sr  0.2500  0.2500  0.5000 [4 per cell]  4 O 2.39-2.52
Os  0.0000  0.5000  0.5000 [2 per cell]  6 O 1.89-1.90
I  0.2500  0.0000  0.8911 [4 per cell]  3 Sr 3.14-3.24, 3 O 3.20-3.40
O  0.0407  0.3116  0.3338 [8 per cell]  1 Os 1.89
O  0.1580  0.5000  0.6392 [4 per cell]  1 Os 1.90

(3)
VASP calculation (GGA-PBE) on crystalline TaOsI2O at its relaxed geometry.

Its density of states at the Fermi level is 1.0999 states/eV per atom.

Unit cell a=5.5492 b=5.5492 c=3.6833 alpha=90.00 beta=90.00 gamma=90.00
With the nearest neighbours (Å) after each atom.
Space group P4/mmm (No. 123)
Inequivalent atoms, fractional coordinates:
Ta  0.0000  0.0000  0.0000 [1 per cell]  8 I 3.33, 2 Ta 3.68
Os  0.5000  0.5000  0.5000 [1 per cell]  2 O 1.84
I  0.0000  0.5000  0.5000 [2 per cell]  2 Os 2.77
O  0.5000  0.5000  0.0000 [1 per cell]  2 Os 1.84

(4)
VASP calculation (GGA-PBE) on crystalline TaOsIO2 at its relaxed geometry.

Its density of states at the Fermi level is 0.7913 states/eV per atom.

Unit cell a=3.8041 b=3.8041 c=8.0465 alpha=90.00 beta=90.00 gamma=90.00
With the nearest neighbours (Å) after each atom.
Space group P4/mmm (No. 123)
Inequivalent atoms, fractional coordinates:
Ta  0.0000  0.0000  0.0000 [1 per cell]  4 I 2.69
Os  0.5000  0.5000  0.5000 [1 per cell]  4 O 1.90
I  0.5000  0.5000  0.0000 [1 per cell]  4 Ta 2.69
O  0.0000  0.5000  0.5000 [2 per cell]  2 Os 1.90

(5)
VASP calculation (GGA-PBE) on crystalline TaOsIO2 at its relaxed geometry.

Its density of states at the Fermi level is 0.7549 states/eV per atom.

Unit cell a=3.8791 b=3.8791 c=6.2584 alpha=90.00 beta=90.00 gamma=90.00
With the nearest neighbours (Å) after each atom.
Space group P4/mmm (No. 123)
Inequivalent atoms, fractional coordinates:
Ta  0.0000  0.0000  0.0000 [1 per cell]  4 O 1.94
Os  0.5000  0.5000  0.5000 [1 per cell]  4 I 2.74
I  0.0000  0.0000  0.5000 [1 per cell]  4 Os 2.74
O  0.0000  0.5000  0.0000 [2 per cell]  2 Ta 1.94

(6)
VASP calculation (GGA-PBE) on crystalline TaOsI2O at its relaxed geometry.

Its density of states at the Fermi level is 1.4103 states/eV per atom.

Unit cell a=5.4780 b=5.4780 c=3.7835 alpha=90.00 beta=90.00 gamma=90.00
With the nearest neighbours (Å) after each atom.
Space group P4/mmm (No. 123)
Inequivalent atoms, fractional coordinates:
Ta  0.0000  0.0000  0.0000 [1 per cell]  2 O 1.89
Os  0.5000  0.5000  0.5000 [1 per cell]  8 I 3.33
I  0.0000  0.5000  0.0000 [2 per cell]  2 Ta 2.74
O  0.0000  0.0000  0.5000 [1 per cell]  2 Ta 1.89

(7)
VASP calculation (GGA-PBE) on crystalline TcOsI2O at its relaxed geometry.

Its density of states at the Fermi level is 0.9931 states/eV per atom.

Unit cell a=5.6274 b=5.6274 c=3.7208 alpha=90.00 beta=90.00 gamma=90.00
With the nearest neighbours (Å) after each atom.
Space group P4/mmm (No. 123)
Inequivalent atoms, fractional coordinates:
Tc  0.0000  0.0000  0.0000 [1 per cell]  8 I 3.37, 2 Tc 3.72
Os  0.5000  0.5000  0.5000 [1 per cell]  2 O 1.86
I  0.0000  0.5000  0.5000 [2 per cell]  2 Os 2.81
O  0.5000  0.5000  0.0000 [1 per cell]  2 Os 1.86

(8)
VASP calculation (GGA-PBE) on crystalline TcOsI2O at its relaxed geometry.

Its density of states at the Fermi level is 0.8562 states/eV per atom.

Unit cell a=5.3752 b=5.3752 c=3.6385 alpha=90.00 beta=90.00 gamma=90.00
With the nearest neighbours (Å) after each atom.
Space group P4/mmm (No. 123)
Inequivalent atoms, fractional coordinates:
Tc  0.0000  0.0000  0.0000 [1 per cell]  2 O 1.82
Os  0.5000  0.5000  0.5000 [1 per cell]  8 I 3.25
I  0.0000  0.5000  0.0000 [2 per cell]  2 Tc 2.69
O  0.0000  0.0000  0.5000 [1 per cell]  2 Tc 1.82

(9)
VASP calculation (GGA-PBE) on crystalline TeOsI2O at its relaxed geometry.

Its density of states at the Fermi level is 1.2956 states/eV per atom.

Unit cell a=6.0990 b=6.0990 c=4.0131 alpha=90.00 beta=90.00 gamma=90.00
With the nearest neighbours (Å) after each atom.
Space group P4/mmm (No. 123)
Inequivalent atoms, fractional coordinates:
Te  0.0000  0.0000  0.0000 [1 per cell]  2 O 2.01
Os  0.5000  0.5000  0.5000 [1 per cell]  8 I 3.65, 2 Os 4.01
I  0.0000  0.5000  0.0000 [2 per cell]  2 Te 3.05
O  0.0000  0.0000  0.5000 [1 per cell]  2 Te 2.01

(10)
VASP calculation (GGA-PBE) on crystalline TeOsI2O at its relaxed geometry.

Its density of states at the Fermi level is 1.5524 states/eV per atom.

Unit cell a=5.5984 b=5.5984 c=4.9837 alpha=90.00 beta=90.00 gamma=90.00
With the nearest neighbours (Å) after each atom.
Space group P4/mmm (No. 123)
Inequivalent atoms, fractional coordinates:
Te  0.0000  0.0000  0.0000 [1 per cell]  2 Os 2.49
Os  0.0000  0.0000  0.5000 [1 per cell]  2 Te 2.49
I  0.0000  0.5000  0.5000 [2 per cell]  2 Os 2.80
O  0.5000  0.5000  0.0000 [1 per cell]  8 I 3.75, 4 Te 3.96

(11)
VASP calculation (GGA-PBE) on crystalline TeOsI2O at its relaxed geometry.

Its density of states at the Fermi level is 1.0784 states/eV per atom.

Unit cell a=4.9858 b=4.9858 c=4.4758 alpha=90.00 beta=90.00 gamma=90.00
With the nearest neighbours (Å) after each atom.
Space group P4/mmm (No. 123)
Inequivalent atoms, fractional coordinates:
Te  0.0000  0.0000  0.0000 [1 per cell]  2 O 2.24
Os  0.5000  0.5000  0.0000 [1 per cell]  8 I 3.35, 4 Te 3.53
I  0.0000  0.5000  0.5000 [2 per cell]  2 O 2.49
O  0.0000  0.0000  0.5000 [1 per cell]  2 Te 2.24, 4 I 2.49

(12)
VASP calculation (GGA-PBE) on crystalline TeOsI2O at its relaxed geometry.

Its density of states at the Fermi level is 1.1395 states/eV per atom.

Unit cell a=5.6801 b=5.6801 c=3.7647 alpha=90.00 beta=90.00 gamma=90.00
With the nearest neighbours (Å) after each atom.
Space group P4/mmm (No. 123)
Inequivalent atoms, fractional coordinates:
Te  0.0000  0.0000  0.0000 [1 per cell]  8 I 3.41, 2 Te 3.76
Os  0.5000  0.5000  0.5000 [1 per cell]  2 O 1.88
I  0.0000  0.5000  0.5000 [2 per cell]  2 Os 2.84
O  0.5000  0.5000  0.0000 [1 per cell]  2 Os 1.88

Across the entries above, uncorrected energy takes the values -3.5326; -5.6660; -5.4793; -6.4551; -7.2659; -5.5907; -5.2279; -5.0815; -3.3422; -3.4408; -3.0698; -4.2965 eV/atom, respectively.